# PBE-GGA TiCr2PtCl, optimized geometry
# - formation energy (no corrections) (eV per atom) = 0.700
data_TiCr2PtCl
_chemical_formula_sum 'Ti1 Cr2 Pt1 Cl1'
_cell_length_a 4.202
_cell_length_b 4.202
_cell_length_c 4.631
_cell_angle_alpha 90.00
_cell_angle_beta 90.00
_cell_angle_gamma 90.00
_space_group_name_H-M_alt 'P 4/m m m'
_space_group_IT_number 123
_space_group_name_Hall '-P 4 2'
loop_
_atom_site_label
_atom_site_type_symbol
_atom_site_fract_x
_atom_site_fract_y
_atom_site_fract_z
_atom_site_occupancy
Ti1 Ti 0.000 0.000 0.000 1
Cr1 Cr 0.000 0.500 0.500 1
Pt1 Pt 0.500 0.500 0.000 1
Cl1 Cl 0.500 0.500 0.500 1



# PBE-GGA Na2Np2VSe6, optimized geometry
# - formation energy (no corrections) (eV per atom) = -1.058
data_Na2Np2VSe6
_chemical_formula_sum 'Na4 Np4 V2 Se12'
_cell_length_a 6.913
_cell_length_b 11.854
_cell_length_c 7.480
_cell_angle_alpha 90.00
_cell_angle_beta 108.17
_cell_angle_gamma 90.00
_space_group_name_H-M_alt 'C 1 2/m 1'
_space_group_IT_number 12
_space_group_name_Hall '-C 2y'
loop_
_atom_site_label
_atom_site_type_symbol
_atom_site_fract_x
_atom_site_fract_y
_atom_site_fract_z
_atom_site_occupancy
Na1 Na 0.000 0.171 0.000 1
Np1 Np 0.000 0.334 0.500 1
V1 V 0.000 0.000 0.500 1
Se1 Se 0.232 0.156 0.720 1
Se2 Se 0.235 0.000 0.281 1



# PBE-GGA Hg2BrCl, optimized geometry
# - formation energy (no corrections) (eV per atom) = 0.043
data_Hg2BrCl
_chemical_formula_sum 'Hg8 Br4 Cl4'
_cell_length_a 7.400
_cell_length_b 7.400
_cell_length_c 7.400
_cell_angle_alpha 90.00
_cell_angle_beta 90.00
_cell_angle_gamma 90.00
_space_group_name_H-M_alt 'F -4 3 m'
_space_group_IT_number 216
_space_group_name_Hall 'F -4 2 3'
loop_
_atom_site_label
_atom_site_type_symbol
_atom_site_fract_x
_atom_site_fract_y
_atom_site_fract_z
_atom_site_occupancy
Hg1 Hg 0.000 0.000 0.000 1
Hg2 Hg 0.250 0.250 0.250 1
Br1 Br 0.000 0.000 0.500 1
Cl1 Cl 0.250 0.250 0.750 1



# PBE-GGA SmEr2Bi2, optimized geometry
# - energy relative to the elements (eV/atom) = -0.414
data_SmEr2Bi2
_chemical_formula_sum 'Sm2 Er4 Bi4'
_cell_length_a 7.298
_cell_length_b 6.183
_cell_length_c 7.476
_cell_angle_alpha 90.00
_cell_angle_beta 106.28
_cell_angle_gamma 90.00
_space_group_name_H-M_alt 'C 1 2/m 1'
_space_group_IT_number 12
_space_group_name_Hall '-C 2y'
loop_
_atom_site_label
_atom_site_type_symbol
_atom_site_fract_x
_atom_site_fract_y
_atom_site_fract_z
_atom_site_occupancy
Sm1 Sm 0.000 0.000 0.000 1
Er1 Er 0.000 0.250 0.500 1
Bi1 Bi 0.166 0.500 0.212 1



# PBE-GGA ZrInCl2, optimized geometry
# - formation energy (no corrections) (eV per atom) = -0.308
data_ZrInCl2
_chemical_formula_sum 'Zr1 In1 Cl2'
_cell_length_a 4.408
_cell_length_b 4.408
_cell_length_c 4.591
_cell_angle_alpha 90.00
_cell_angle_beta 90.00
_cell_angle_gamma 90.00
_space_group_name_H-M_alt 'P 4/m m m'
_space_group_IT_number 123
_space_group_name_Hall '-P 4 2'
loop_
_atom_site_label
_atom_site_type_symbol
_atom_site_fract_x
_atom_site_fract_y
_atom_site_fract_z
_atom_site_occupancy
Zr1 Zr 0.000 0.000 0.000 1
In1 In 0.500 0.500 0.000 1
Cl1 Cl 0.000 0.500 0.500 1



# PBE-GGA KGdPb2, optimized geometry
# - energy relative to the elements (eV/atom) = -0.170
data_KGdPb2
_chemical_formula_sum 'K4 Gd4 Pb8'
_cell_length_a 7.998
_cell_length_b 7.998
_cell_length_c 7.998
_cell_angle_alpha 90.00
_cell_angle_beta 90.00
_cell_angle_gamma 90.00
_space_group_name_H-M_alt 'F m -3 m'
_space_group_IT_number 225
_space_group_name_Hall '-F 4 2 3'
loop_
_atom_site_label
_atom_site_type_symbol
_atom_site_fract_x
_atom_site_fract_y
_atom_site_fract_z
_atom_site_occupancy
K1 K 0.000 0.000 0.000 1
Gd1 Gd 0.000 0.000 0.500 1
Pb1 Pb 0.250 0.250 0.250 1



# PBE-GGA ReSbCl2, optimized geometry
# - formation energy (no corrections) (eV per atom) = 0.301
data_ReSbCl2
_chemical_formula_sum 'Re2 Sb2 Cl4'
_cell_length_a 2.949
_cell_length_b 5.731
_cell_length_c 11.882
_cell_angle_alpha 90.00
_cell_angle_beta 90.00
_cell_angle_gamma 90.00
_space_group_name_H-M_alt 'C m m m'
_space_group_IT_number 65
_space_group_name_Hall '-C 2 2'
loop_
_atom_site_label
_atom_site_type_symbol
_atom_site_fract_x
_atom_site_fract_y
_atom_site_fract_z
_atom_site_occupancy
Re1 Re 0.000 0.000 0.000 1
Sb1 Sb 0.000 0.000 0.500 1
Cl1 Cl 0.000 0.500 0.159 1



# PBE-GGA IrRu2C, optimized geometry
# - energy relative to the elements (eV/atom) = 0.809
data_IrRu2C
_chemical_formula_sum 'Ir4 Ru8 C4'
_cell_length_a 5.173
_cell_length_b 5.173
_cell_length_c 9.389
_cell_angle_alpha 90.00
_cell_angle_beta 90.00
_cell_angle_gamma 90.00
_space_group_name_H-M_alt 'I -4 2 d'
_space_group_IT_number 122
_space_group_name_Hall 'I -4 2bw'
loop_
_atom_site_label
_atom_site_type_symbol
_atom_site_fract_x
_atom_site_fract_y
_atom_site_fract_z
_atom_site_occupancy
Ir1 Ir 0.000 0.000 0.000 1
Ru1 Ru 0.175 0.250 0.625 1
C1 C 0.000 0.000 0.500 1



# PBE-GGA As2OsW, optimized geometry
# - energy relative to the elements (eV/atom) = 0.534
data_As2OsW
_chemical_formula_sum 'As4 Os2 W2'
_cell_length_a 4.035
_cell_length_b 4.035
_cell_length_c 7.733
_cell_angle_alpha 90.00
_cell_angle_beta 90.00
_cell_angle_gamma 90.00
_space_group_name_H-M_alt 'I -4 m 2'
_space_group_IT_number 119
_space_group_name_Hall 'I -4 -2'
loop_
_atom_site_label
_atom_site_type_symbol
_atom_site_fract_x
_atom_site_fract_y
_atom_site_fract_z
_atom_site_occupancy
As1 As 0.000 0.000 0.000 1
As2 As 0.000 0.500 0.250 1
Os1 Os 0.000 0.500 0.750 1
W1 W 0.000 0.000 0.500 1



# PBE-GGA PmNd5Y3, optimized geometry
# - energy relative to the elements (eV/atom) = 0.265
data_PmNd5Y3
_chemical_formula_sum 'Pm4 Nd20 Y12'
_cell_length_a 18.799
_cell_length_b 6.492
_cell_length_c 11.509
_cell_angle_alpha 90.00
_cell_angle_beta 113.65
_cell_angle_gamma 90.00
_space_group_name_H-M_alt 'C 1 2/c 1'
_space_group_IT_number 15
_space_group_name_Hall '-C 2yc'
loop_
_atom_site_label
_atom_site_type_symbol
_atom_site_fract_x
_atom_site_fract_y
_atom_site_fract_z
_atom_site_occupancy
Pm1 Pm 0.000 0.131 0.250 1
Nd1 Nd 0.000 0.402 0.750 1
Nd2 Nd 0.169 0.180 0.865 1
Nd3 Nd 0.169 0.294 0.209 1
Y1 Y 0.000 0.000 0.000 1
Y2 Y 0.160 0.299 0.514 1



# PBE-GGA Ta2ZnNi2, optimized geometry
# - energy relative to the elements (eV/atom) = -0.156
data_Ta2ZnNi2
_chemical_formula_sum 'Ta4 Zn2 Ni4'
_cell_length_a 6.761
_cell_length_b 6.761
_cell_length_c 3.207
_cell_angle_alpha 90.00
_cell_angle_beta 90.00
_cell_angle_gamma 90.00
_space_group_name_H-M_alt 'P 4/m b m'
_space_group_IT_number 127
_space_group_name_Hall '-P 4 2ab'
loop_
_atom_site_label
_atom_site_type_symbol
_atom_site_fract_x
_atom_site_fract_y
_atom_site_fract_z
_atom_site_occupancy
Ta1 Ta 0.173 0.327 0.000 1
Zn1 Zn 0.000 0.000 0.500 1
Ni1 Ni 0.126 0.626 0.500 1



# PBE-GGA Ba2Sr2Cd3, optimized geometry
# - energy relative to the elements (eV/atom) = -0.249
data_Ba2Sr2Cd3
_chemical_formula_sum 'Ba6 Sr6 Cd9'
_cell_length_a 5.8201
_cell_length_b 5.8201
_cell_length_c 29.1784
_cell_angle_alpha 90.00
_cell_angle_beta 90.00
_cell_angle_gamma 120.00
_space_group_name_H-M_alt 'R -3 m'
_space_group_IT_number 166
_space_group_name_Hall '-R 3 2"'
loop_
_atom_site_label
_atom_site_type_symbol
_atom_site_fract_x
_atom_site_fract_y
_atom_site_fract_z
_atom_site_occupancy
Ba1 Ba 0.0000 0.0000 0.1237 1
Sr1 Sr 0.0000 0.0000 0.3726 1
Cd1 Cd 0.0000 0.0000 0.0000 1
Cd2 Cd 0.0000 0.0000 0.2539 1



DFT total energy
In order: -31.5 -140.4 -15.8 -47.4 -16.2 -93.1 -38.1 -133.6 -62.7 -182.4 -74.6 -35.1
Unit: eV per cell
Density
In order: 7767 5957 8465 9260 5155 7928 6265 10743 13821 5848 12342 4582
Unit: kg/m³